(1)
Material: LiAs2
Method: DFT, PBE-GGA
State: optimized geometry

abc: 4.765 4.765 2.828
angles: 90.00 90.00 120.00
Sites, in units of the cell vectors:
Li (0.000, 0.000, 0.000)
As (0.333, 0.667, 0.500)
As (0.667, 0.333, 0.500)

Output
ΔH_f (0 K) in eV/atom: -0.14
Spin magnetization in μB/f.u.: 0.00
Calculated total energy in eV per atom: -3.88
DOS at the Fermi energy in states/eV/cell: 1.01



(2)
Material: LiAs
Method: DFT, PBE-GGA
State: optimized geometry

abc: 5.820 5.281 10.775
angles: 90.00 117.91 90.00
Sites, in units of the cell vectors:
Li (0.228, 0.168, 0.053)
Li (0.228, 0.332, 0.553)
Li (0.237, 0.582, 0.830)
Li (0.237, 0.918, 0.330)
Li (0.763, 0.082, 0.670)
Li (0.763, 0.418, 0.170)
Li (0.772, 0.668, 0.447)
Li (0.772, 0.832, 0.947)
As (0.286, 0.667, 0.099)
As (0.286, 0.833, 0.599)
As (0.302, 0.075, 0.802)
As (0.302, 0.425, 0.302)
As (0.698, 0.575, 0.698)
As (0.698, 0.925, 0.198)
As (0.714, 0.167, 0.401)
As (0.714, 0.333, 0.901)

Output
ΔH_f (0 K) in eV/atom: -0.49
Spin magnetization in μB/f.u.: 0.00
Calculated total energy in eV per atom: -3.77
DOS at the Fermi energy in states/eV/cell: 0.07



(3)
Material: LiAs3
Method: DFT, PBE-GGA
State: optimized geometry

abc: 4.719 4.719 4.719
angles: 60.00 60.00 60.00
Sites, in units of the cell vectors:
Li (0.000, 0.000, 0.000)
As (0.250, 0.250, 0.250)
As (0.500, 0.500, 0.500)
As (0.750, 0.750, 0.750)

Output
ΔH_f (0 K) in eV/atom: 0.11
Spin magnetization in μB/f.u.: 0.00
Calculated total energy in eV per atom: -3.86
DOS at the Fermi energy in states/eV/cell: 1.48
ΔE to the lowest computed polymorph in kcal/mol of atoms: 4.79



(4)
Material: LiAs
Method: DFT, PBE-GGA
State: optimized geometry

abc: 3.681 3.681 3.681
angles: 60.00 60.00 60.00
Sites, in units of the cell vectors:
Li (0.000, 0.000, 0.000)
As (0.500, 0.500, 0.500)

Output
ΔH_f (0 K) in eV/atom: 0.02
Spin magnetization in μB/f.u.: 0.00
Calculated total energy in eV per atom: -3.26
DOS at the Fermi energy in states/eV/cell: 1.50



(5)
Material: LiAs2
Method: DFT, PBE-GGA
State: optimized geometry

abc: 2.846 2.846 7.962
angles: 90.00 90.00 120.00
Sites, in units of the cell vectors:
Li (0.000, 0.000, 0.000)
As (0.333, 0.667, 0.276)
As (0.667, 0.333, 0.724)

Output
ΔH_f (0 K) in eV/atom: 0.03
Spin magnetization in μB/f.u.: 0.00
Calculated total energy in eV per atom: -3.70
DOS at the Fermi energy in states/eV/cell: 1.57



(6)
Material: LiAs
Method: DFT, PBE-GGA
State: optimized geometry

abc: 4.619 4.619 8.112
angles: 90.00 90.00 120.00
Sites, in units of the cell vectors:
Li (0.333, 0.667, 0.078)
Li (0.333, 0.667, 0.422)
Li (0.667, 0.333, 0.578)
Li (0.667, 0.333, 0.922)
As (0.000, 0.000, 0.250)
As (0.000, 0.000, 0.750)
As (0.333, 0.667, 0.750)
As (0.667, 0.333, 0.250)

Output
ΔH_f (0 K) in eV/atom: -0.23
Spin magnetization in μB/f.u.: 0.00
Calculated total energy in eV per atom: -3.51
DOS at the Fermi energy in states/eV/cell: 5.66



(7)
Material: LiAs4
Method: DFT, PBE-GGA
State: optimized geometry

abc: 4.587 4.587 4.587
angles: 90.00 90.00 90.00
Sites, in units of the cell vectors:
Li (0.000, 0.000, 0.000)
As (0.000, 0.000, 0.500)
As (0.000, 0.500, 0.000)
As (0.500, 0.000, 0.000)
As (0.500, 0.500, 0.500)

Output
ΔH_f (0 K) in eV/atom: 0.61
Spin magnetization in μB/f.u.: 0.00
Calculated total energy in eV per atom: -3.49
DOS at the Fermi energy in states/eV/cell: 3.04
ΔE to the lowest computed polymorph in kcal/mol of atoms: 16.64



(8)
Material: LiAs
Method: DFT, PBE-GGA
State: optimized geometry

abc: 7.019 7.019 7.019
angles: 90.00 90.00 90.00
Sites, in units of the cell vectors:
Li (0.000, 0.250, 0.500)
Li (0.000, 0.750, 0.500)
Li (0.250, 0.500, 0.000)
Li (0.500, 0.000, 0.250)
Li (0.500, 0.000, 0.750)
Li (0.750, 0.500, 0.000)
As (0.000, 0.500, 0.250)
As (0.000, 0.500, 0.750)
As (0.250, 0.000, 0.500)
As (0.500, 0.250, 0.000)
As (0.500, 0.750, 0.000)
As (0.750, 0.000, 0.500)

Output
ΔH_f (0 K) in eV/atom: 0.44
Spin magnetization in μB/f.u.: 0.53
Calculated total energy in eV per atom: -2.84
DOS at the Fermi energy in states/eV/cell: 13.51